Entry 1:
Below is an optimized crystal structure of Li2NbGa, with properties calculated at the PBE level.

Cell: 7.1061 7.1061 5.2801 Å, 90.00 90.00 90.00°
With the nearest neighbours (Å) after each atom.
Space group I-42d (No. 122)
Symmetry-distinct sites (fractional):
Li  0.2225  0.7500  0.1250 [8 per cell]  2 Ga 2.47, 2 Li 2.67, 2 Nb 2.73
Nb  0.0000  0.0000  0.5000 [4 per cell]  2 Ga 2.64, 4 Li 2.73
Ga  0.0000  0.0000  0.0000 [4 per cell]  4 Li 2.47, 2 Nb 2.64

M_tot = 0.00 Bohr magnetons per cell

***

Entry 2:
Below is an optimized crystal structure of Sr3LaPt8, with properties calculated at the PBE level.

Cell: 5.5740 5.5740 27.2287 Å, 90.00 90.00 120.00°
With the nearest neighbours (Å) after each atom.
Space group R3m (No. 160, hexagonal axes)
Symmetry-distinct sites (fractional):
Sr  0.0000  0.0000  0.0000 [3 per cell]  12 Pt 3.26-3.29, 4 Sr 3.37-3.39
Sr  0.0000  0.0000  0.1238 [3 per cell]  12 Pt 3.23-3.28, 1 Sr 3.37, 3 La 3.43
Sr  0.0000  0.0000  0.6272 [3 per cell]  12 Pt 3.25-3.30, 3 Sr 3.39, 1 La 3.44
La  0.0000  0.0000  0.5010 [3 per cell]  12 Pt 3.24-3.27, 4 Sr 3.43-3.44
Pt  0.0000  0.0000  0.3131 [3 per cell]  6 Pt 2.80
Pt  0.0000  0.0000  0.8129 [3 per cell]  6 Pt 2.76-2.77
Pt  0.0017  0.5008  0.0640 [9 per cell]  6 Pt 2.76-2.80
Pt  0.1677  0.3354  0.8954 [9 per cell]  6 Pt 2.77-2.80

M_tot = 0.00 Bohr magnetons per cell

***

Entry 3:
Below is an optimized crystal structure of Pr4Dy6Er, with properties calculated at the PBE level.

Cell: 11.0684 11.0684 3.5803 Å, 90.00 90.00 120.00°
With the nearest neighbours (Å) after each atom.
Space group P-6m2 (No. 187)
Symmetry-distinct sites (fractional):
Pr  0.0000  0.0000  0.0000 [1 per cell]  9 Dy 3.39-3.45, 2 Pr 3.58
Pr  0.5022  0.0043  0.5000 [3 per cell]  6 Dy 3.31-3.60, 2 Pr 3.58, 2 Er 3.63
Dy  0.1769  0.3539  0.0000 [3 per cell]  5 Pr 3.39-3.60, 6 Dy 3.58-3.66
Dy  0.3080  0.1540  0.5000 [3 per cell]  4 Pr 3.31-3.45, 6 Dy 3.58-3.66
Er  0.6667  0.3333  0.0000 [1 per cell]  2 Er 3.58, 6 Pr 3.63, 6 Dy 3.88

M_tot = 0.00 Bohr magnetons per cell
E above lowest polymorph = 0 meV per atom

***

| no. | V (A^3/atom) | energy relative to the elements (eV per atom) |
| --- | --- | --- |
| 1 | 16.7 | 0.45 |
| 2 | 20.4 | -0.93 |
| 3 | 34.5 | 0.17 |